Record 1
VASP calculation (PBE) on AcTb12Sc7 after structural relaxation.

## Properties
Space group: R-3, No. 148
V: 603 Å³ per cell
Magnetization: 1.56 μB per cell
Calculated total energy: -100.44 eV per cell
Calculated formation energy: 0.18 eV per atom

```
data_AcTb12Sc7
_cell_length_a 9.105
_cell_length_b 9.105
_cell_length_c 9.105
_cell_angle_alpha 108.38
_cell_angle_beta 108.38
_cell_angle_gamma 108.38
_symmetry_space_group_name_H-M 'P 1'
_symmetry_Int_Tables_number 1
loop_
_symmetry_equiv_pos_as_xyz
'x,y,z'
loop_
_atom_site_label
_atom_site_type_symbol
_atom_site_fract_x
_atom_site_fract_y
_atom_site_fract_z
Ac1 Ac 0.000 0.000 0.000
Tb1 Tb 0.067 0.411 0.301
Tb2 Tb 0.199 0.378 0.673
Tb3 Tb 0.301 0.067 0.411
Tb4 Tb 0.327 0.801 0.622
Tb5 Tb 0.378 0.673 0.199
Tb6 Tb 0.411 0.301 0.067
Tb7 Tb 0.589 0.699 0.933
Tb8 Tb 0.622 0.327 0.801
Tb9 Tb 0.673 0.199 0.378
Tb10 Tb 0.699 0.933 0.589
Tb11 Tb 0.801 0.622 0.327
Tb12 Tb 0.933 0.589 0.699
Sc1 Sc 0.004 0.682 0.107
Sc2 Sc 0.107 0.004 0.682
Sc3 Sc 0.318 0.893 0.996
Sc4 Sc 0.500 0.500 0.500
Sc5 Sc 0.682 0.107 0.004
Sc6 Sc 0.893 0.996 0.318
Sc7 Sc 0.996 0.318 0.893
```

---

Record 2
VASP calculation (PBE) on AcTb2Sc after structural relaxation.

## Properties
Space group: P4/mmm, No. 123
V: 131 Å³ per cell
Magnetization: 0.00 μB per cell
ΔE to the lowest computed polymorph: 0.0 kJ/mol of atoms
Calculated total energy: -19.35 eV per cell
Calculated formation energy: 0.09 eV per atom

```
data_AcTb2Sc
_cell_length_a 5.025
_cell_length_b 5.025
_cell_length_c 5.201
_cell_angle_alpha 90.00
_cell_angle_beta 90.00
_cell_angle_gamma 90.00
_symmetry_space_group_name_H-M 'P 1'
_symmetry_Int_Tables_number 1
loop_
_symmetry_equiv_pos_as_xyz
'x,y,z'
loop_
_atom_site_label
_atom_site_type_symbol
_atom_site_fract_x
_atom_site_fract_y
_atom_site_fract_z
Ac1 Ac 0.000 0.000 0.000
Tb1 Tb 0.000 0.500 0.500
Tb2 Tb 0.500 0.000 0.500
Sc1 Sc 0.500 0.500 0.000
```

---

Record 3
VASP calculation (PBE) on Ac3Tb3ScTe8 after structural relaxation.

## Properties
Space group: R-3m, No. 166
V: 522 Å³ per cell
Magnetization: 0.00 μB per cell
Formation energy from raw total energies: -1.400 eV/atom
Calculated total energy: -78.68 eV per cell

```
data_Ac3Tb3ScTe8
_cell_length_a 9.159
_cell_length_b 9.159
_cell_length_c 9.159
_cell_angle_alpha 58.31
_cell_angle_beta 58.31
_cell_angle_gamma 58.31
_symmetry_space_group_name_H-M 'P 1'
_symmetry_Int_Tables_number 1
loop_
_symmetry_equiv_pos_as_xyz
'x,y,z'
loop_
_atom_site_label
_atom_site_type_symbol
_atom_site_fract_x
_atom_site_fract_y
_atom_site_fract_z
Ac1 Ac 0.000 0.500 0.500
Ac2 Ac 0.500 0.000 0.500
Ac3 Ac 0.500 0.500 0.000
Tb1 Tb 0.000 0.000 0.500
Tb2 Tb 0.000 0.500 0.000
Tb3 Tb 0.500 0.000 0.000
Sc1 Sc 0.500 0.500 0.500
Te1 Te 0.242 0.242 0.242
Te2 Te 0.245 0.739 0.739
Te3 Te 0.261 0.261 0.755
Te4 Te 0.261 0.755 0.261
Te5 Te 0.739 0.245 0.739
Te6 Te 0.739 0.739 0.245
Te7 Te 0.755 0.261 0.261
Te8 Te 0.758 0.758 0.758
```

---

Record 4
VASP calculation (PBE) on Ac2TbScTe5 after structural relaxation.

## Properties
Space group: Cmc2_1, No. 36
V: 600 Å³ per cell
Magnetization: 0.00 μB per cell
Formation energy from raw total energies: -1.385 eV/atom
Calculated total energy: -94.70 eV per cell

```
data_Ac2TbScTe5
_cell_length_a 9.639
_cell_length_b 9.639
_cell_length_c 14.310
_cell_angle_alpha 90.00
_cell_angle_beta 90.00
_cell_angle_gamma 153.20
_symmetry_space_group_name_H-M 'P 1'
_symmetry_Int_Tables_number 1
loop_
_symmetry_equiv_pos_as_xyz
'x,y,z'
loop_
_atom_site_label
_atom_site_type_symbol
_atom_site_fract_x
_atom_site_fract_y
_atom_site_fract_z
Ac1 Ac 0.105 0.895 0.500
Ac2 Ac 0.143 0.857 0.123
Ac3 Ac 0.857 0.143 0.623
Ac4 Ac 0.895 0.105 0.000
Tb1 Tb 0.206 0.794 0.824
Tb2 Tb 0.794 0.206 0.324
Sc1 Sc 0.470 0.530 0.265
Sc2 Sc 0.530 0.470 0.765
Te1 Te 0.053 0.947 0.883
Te2 Te 0.280 0.720 0.475
Te3 Te 0.323 0.677 0.173
Te4 Te 0.372 0.628 0.812
Te5 Te 0.485 0.515 0.579
Te6 Te 0.515 0.485 0.079
Te7 Te 0.628 0.372 0.312
Te8 Te 0.677 0.323 0.673
Te9 Te 0.720 0.280 0.975
Te10 Te 0.947 0.053 0.383
```

---

Record 5
VASP calculation (PBE) on AcTbThSc after structural relaxation.

## Properties
Space group: F-43m, No. 216
V: 131 Å³ per cell
Magnetization: 0.00 μB per cell
Calculated total energy: -21.96 eV per cell
Calculated formation energy: 0.13 eV per atom

```
data_AcTbThSc
_cell_length_a 5.701
_cell_length_b 5.701
_cell_length_c 5.701
_cell_angle_alpha 60.00
_cell_angle_beta 60.00
_cell_angle_gamma 60.00
_symmetry_space_group_name_H-M 'P 1'
_symmetry_Int_Tables_number 1
loop_
_symmetry_equiv_pos_as_xyz
'x,y,z'
loop_
_atom_site_label
_atom_site_type_symbol
_atom_site_fract_x
_atom_site_fract_y
_atom_site_fract_z
Ac1 Ac 0.000 0.000 0.000
Tb1 Tb 0.250 0.250 0.250
Th1 Th 0.500 0.500 0.500
Sc1 Sc 0.750 0.750 0.750
```

---

Record 6
VASP calculation (PBE) on AcSc3Tc after structural relaxation.

## Properties
Space group: Pm-3m, No. 221
V: 138 Å³ per cell
Magnetization: 0.00 μB per cell
Calculated total energy: -33.50 eV per cell
Calculated formation energy: -0.01 eV per atom

```
data_AcSc3Tc
_cell_length_a 5.165
_cell_length_b 5.165
_cell_length_c 5.165
_cell_angle_alpha 90.00
_cell_angle_beta 90.00
_cell_angle_gamma 90.00
_symmetry_space_group_name_H-M 'P 1'
_symmetry_Int_Tables_number 1
loop_
_symmetry_equiv_pos_as_xyz
'x,y,z'
loop_
_atom_site_label
_atom_site_type_symbol
_atom_site_fract_x
_atom_site_fract_y
_atom_site_fract_z
Ac1 Ac 0.000 0.000 0.000
Sc1 Sc 0.000 0.500 0.500
Sc2 Sc 0.500 0.000 0.500
Sc3 Sc 0.500 0.500 0.000
Tc1 Tc 0.500 0.500 0.500
```

---

Record 7
VASP calculation (PBE) on AcScTc4 after structural relaxation.

## Properties
Space group: F-43m, No. 216
V: 115 Å³ per cell
Magnetization: 0.00 μB per cell
Calculated total energy: -51.06 eV per cell
Calculated formation energy: 0.14 eV per atom

```
data_AcScTc4
_cell_length_a 5.454
_cell_length_b 5.454
_cell_length_c 5.454
_cell_angle_alpha 60.00
_cell_angle_beta 60.00
_cell_angle_gamma 60.00
_symmetry_space_group_name_H-M 'P 1'
_symmetry_Int_Tables_number 1
loop_
_symmetry_equiv_pos_as_xyz
'x,y,z'
loop_
_atom_site_label
_atom_site_type_symbol
_atom_site_fract_x
_atom_site_fract_y
_atom_site_fract_z
Ac1 Ac 0.000 0.000 0.000
Sc1 Sc 0.250 0.250 0.250
Tc1 Tc 0.127 0.624 0.624
Tc2 Tc 0.624 0.127 0.624
Tc3 Tc 0.624 0.624 0.127
Tc4 Tc 0.624 0.624 0.624
```

---

Record 8
VASP calculation (PBE) on AcSc3Te6 after structural relaxation.

## Properties
Space group: P2_1/m, No. 11
V: 624 Å³ per cell
Magnetization: 0.00 μB per cell
Formation energy from raw total energies: -1.291 eV/atom
Calculated total energy: -109.73 eV per cell

```
data_AcSc3Te6
_cell_length_a 12.220
_cell_length_b 4.324
_cell_length_c 12.518
_cell_angle_alpha 90.00
_cell_angle_beta 109.26
_cell_angle_gamma 90.00
_symmetry_space_group_name_H-M 'P 1'
_symmetry_Int_Tables_number 1
loop_
_symmetry_equiv_pos_as_xyz
'x,y,z'
loop_
_atom_site_label
_atom_site_type_symbol
_atom_site_fract_x
_atom_site_fract_y
_atom_site_fract_z
Ac1 Ac 0.054 0.250 0.203
Ac2 Ac 0.946 0.750 0.797
Sc1 Sc 0.157 0.250 0.588
Sc2 Sc 0.323 0.750 0.998
Sc3 Sc 0.448 0.250 0.341
Sc4 Sc 0.552 0.750 0.659
Sc5 Sc 0.677 0.250 0.002
Sc6 Sc 0.843 0.750 0.412
Te1 Te 0.085 0.750 0.417
Te2 Te 0.132 0.250 0.968
Te3 Te 0.207 0.750 0.747
Te4 Te 0.281 0.750 0.231
Te5 Te 0.387 0.250 0.555
Te6 Te 0.480 0.250 0.115
Te7 Te 0.520 0.750 0.885
Te8 Te 0.613 0.750 0.445
Te9 Te 0.719 0.250 0.769
Te10 Te 0.793 0.250 0.253
Te11 Te 0.868 0.750 0.032
Te12 Te 0.915 0.250 0.583
```

---

Record 9
VASP calculation (PBE) on AcSc4Te6 after structural relaxation.

## Properties
Space group: Cmcm, No. 63
V: 634 Å³ per cell
Magnetization: 0.00 μB per cell
Formation energy from raw total energies: -1.266 eV/atom
Calculated total energy: -124.42 eV per cell

```
data_AcSc4Te6
_cell_length_a 7.202
_cell_length_b 7.202
_cell_length_c 21.620
_cell_angle_alpha 90.00
_cell_angle_beta 90.00
_cell_angle_gamma 145.58
_symmetry_space_group_name_H-M 'P 1'
_symmetry_Int_Tables_number 1
loop_
_symmetry_equiv_pos_as_xyz
'x,y,z'
loop_
_atom_site_label
_atom_site_type_symbol
_atom_site_fract_x
_atom_site_fract_y
_atom_site_fract_z
Ac1 Ac 0.152 0.848 0.750
Ac2 Ac 0.848 0.152 0.250
Sc1 Sc 0.097 0.903 0.121
Sc2 Sc 0.097 0.903 0.379
Sc3 Sc 0.353 0.647 0.034
Sc4 Sc 0.353 0.647 0.466
Sc5 Sc 0.647 0.353 0.534
Sc6 Sc 0.647 0.353 0.966
Sc7 Sc 0.903 0.097 0.621
Sc8 Sc 0.903 0.097 0.879
Te1 Te 0.000 0.000 0.000
Te2 Te 0.000 0.000 0.500
Te3 Te 0.165 0.835 0.250
Te4 Te 0.263 0.737 0.591
Te5 Te 0.263 0.737 0.909
Te6 Te 0.458 0.542 0.154
Te7 Te 0.458 0.542 0.346
Te8 Te 0.542 0.458 0.654
Te9 Te 0.542 0.458 0.846
Te10 Te 0.737 0.263 0.091
Te11 Te 0.737 0.263 0.409
Te12 Te 0.835 0.165 0.750
```

---

Record 10
VASP calculation (PBE) on Ac2ScTe4 after structural relaxation.

## Properties
Space group: P2_1/m, No. 11
V: 509 Å³ per cell
Magnetization: 0.00 μB per cell
Formation energy from raw total energies: -1.331 eV/atom
Calculated total energy: -72.86 eV per cell

```
data_Ac2ScTe4
_cell_length_a 7.842
_cell_length_b 7.463
_cell_length_c 9.079
_cell_angle_alpha 90.00
_cell_angle_beta 106.64
_cell_angle_gamma 90.00
_symmetry_space_group_name_H-M 'P 1'
_symmetry_Int_Tables_number 1
loop_
_symmetry_equiv_pos_as_xyz
'x,y,z'
loop_
_atom_site_label
_atom_site_type_symbol
_atom_site_fract_x
_atom_site_fract_y
_atom_site_fract_z
Ac1 Ac 0.232 0.250 0.057
Ac2 Ac 0.233 0.250 0.559
Ac3 Ac 0.767 0.750 0.441
Ac4 Ac 0.768 0.750 0.943
Sc1 Sc 0.252 0.750 0.313
Sc2 Sc 0.748 0.250 0.687
Te1 Te 0.015 0.510 0.754
Te2 Te 0.015 0.990 0.754
Te3 Te 0.438 0.750 0.100
Te4 Te 0.440 0.750 0.619
Te5 Te 0.560 0.250 0.381
Te6 Te 0.562 0.250 0.900
Te7 Te 0.985 0.010 0.246
Te8 Te 0.985 0.490 0.246
```